1.
HoErFe2Cl2: relaxed, GGA-PBE.

Calculated values
- M_tot (μB/f.u.) = 1.37

extended XYZ file:
```
6
Lattice="-0.875 1.806 3.205 -1.282 -3.506 -0.605 9.021 -4.126 4.788" Properties=species:S:1:pos:R:3 pbc="T T T"
Ho 2.882 -1.318 1.530
Cl 6.541 -3.418 5.943
Cl 0.321 -2.406 1.444
Fe 3.412 -1.987 4.283
Fe 3.455 -3.839 3.107
Er 6.137 -2.807 3.257
```

2.
ErTmFe2Cl2: relaxed, GGA-PBE.

Calculated values
- M_tot (μB/f.u.) = 1.33

extended XYZ file:
```
6
Lattice="3.766 0.000 0.000 -1.883 3.262 0.000 0.000 0.000 10.970" Properties=species:S:1:pos:R:3 pbc="T T T"
Fe 0.000 2.174 5.592
Fe 1.883 1.087 5.375
Tm 0.000 0.000 3.508
Cl 1.883 1.087 9.183
Cl 0.000 2.174 1.790
Er 0.000 0.000 7.463
```

3.
ErTmGa2Cl2: relaxed, GGA-PBE.

Calculated values
- M_tot (μB/f.u.) = 0.01

extended XYZ file:
```
6
Lattice="4.032 0.000 0.000 -2.016 3.492 0.000 0.000 0.000 11.341" Properties=species:S:1:pos:R:3 pbc="T T T"
Tm 0.000 0.000 3.625
Cl 0.000 2.328 2.071
Cl 2.016 1.164 9.283
Ga 2.016 1.164 5.286
Ga 0.000 2.328 6.042
Er 0.000 0.000 7.715
```

4.
GdErNCl2: relaxed, GGA-PBE.

Calculated values
- M_tot (μB/f.u.) = 0.00

extended XYZ file:
```
5
Lattice="3.590 0.000 0.000 -1.795 3.109 0.000 0.000 0.000 10.070" Properties=species:S:1:pos:R:3 pbc="T T T"
Cl 0.000 0.000 1.918
Cl 1.795 1.036 8.086
Gd 1.795 1.036 3.726
N 0.000 2.073 5.109
Er 0.000 0.000 6.335
```

5.
GdErCl2O2: relaxed, GGA-PBE.

Calculated values
- M_tot (μB/f.u.) = 0.00

extended XYZ file:
```
6
Lattice="3.887 0.000 0.000 0.000 3.887 0.000 0.000 0.000 6.695" Properties=species:S:1:pos:R:3 pbc="T T T"
Cl 0.000 0.000 4.208
Cl 1.944 1.944 2.491
Gd 1.944 1.944 5.543
Er 0.000 0.000 1.104
O 0.000 1.944 0.022
O 1.944 0.000 0.022
```

6.
GdErSbCl2: relaxed, GGA-PBE.

Calculated values
- M_tot (μB/f.u.) = 0.01

extended XYZ file:
```
5
Lattice="4.161 0.000 0.000 -2.081 3.604 0.000 0.000 0.000 10.497" Properties=species:S:1:pos:R:3 pbc="T T T"
Er 0.000 0.000 1.767
Gd 2.081 1.201 8.732
Sb 0.000 2.403 0.044
Cl 2.081 1.201 3.268
Cl 0.000 0.000 7.183
```

7.
Gd2Er2SiCl5: relaxed, GGA-PBE.

Calculated values
- M_tot (μB/f.u.) = 0.02

extended XYZ file:
```
10
Lattice="-7.561 -4.780 -0.112 -4.799 -7.543 0.338 0.651 1.944 7.926" Properties=species:S:1:pos:R:3 pbc="T T T"
Gd 0.492 1.486 6.097
Gd -12.201 -11.866 2.056
Cl -9.843 -8.924 5.633
Cl -5.855 -5.190 4.076
Cl -10.088 -9.874 1.309
Cl -1.621 -0.505 6.843
Cl -1.866 -1.455 2.519
Er -3.689 -2.490 7.353
Er -8.020 -7.890 0.799
Si -6.180 -6.161 0.113
```

8.
LaErGeCl2: relaxed, GGA-PBE.

Calculated values
- M_tot (μB/f.u.) = 0.00

extended XYZ file:
```
5
Lattice="4.213 0.000 0.000 -2.106 3.648 0.000 0.000 0.000 9.718" Properties=species:S:1:pos:R:3 pbc="T T T"
Er 0.000 0.000 3.184
Cl 2.106 1.216 1.719
Cl 0.000 0.000 8.145
Ge 0.000 2.432 4.750
La 2.106 1.216 6.497
```

9.
PrErGeCl2: relaxed, GGA-PBE.

Calculated values
- M_tot (μB/f.u.) = 0.00

extended XYZ file:
```
5
Lattice="4.162 0.000 0.000 -2.081 3.604 0.000 0.000 0.000 9.755" Properties=species:S:1:pos:R:3 pbc="T T T"
Cl 0.000 2.403 1.721
Cl 2.081 1.201 8.168
Er 2.081 1.201 3.209
Ge 0.000 0.000 4.778
Pr 0.000 2.403 6.511
```

10.
SmErGeCl2: relaxed, GGA-PBE.

Calculated values
- M_tot (μB/f.u.) = 0.00

extended XYZ file:
```
5
Lattice="-3.895 1.302 0.113 0.855 -3.975 0.590 0.806 1.587 9.524" Properties=species:S:1:pos:R:3 pbc="T T T"
Ge 0.398 0.784 4.705
Cl -1.640 0.866 8.212
Cl -0.588 -1.940 2.088
Er -2.045 0.068 3.421
Sm -0.190 -1.157 6.788
```

11.
ErHICl: relaxed, GGA-PBE.

Calculated values
- M_tot (μB/f.u.) = 0.00

extended XYZ file:
```
8
Lattice="-0.043 2.241 -3.113 -3.265 -0.752 1.867 2.188 12.178 8.735" Properties=species:S:1:pos:R:3 pbc="T T T"
Er 1.617 9.002 6.457
Er 0.571 3.176 2.278
Cl 0.258 8.895 4.036
Cl -1.378 4.771 3.453
I 0.812 11.978 6.247
I -1.932 1.688 1.242
H -0.564 9.302 6.703
H -0.556 4.364 0.786
```

12.
Er2H2I3Cl: relaxed, GGA-PBE.

Calculated values
- M_tot (μB/f.u.) = 0.00

extended XYZ file:
```
8
Lattice="3.904 0.000 0.000 -1.952 3.381 0.000 0.000 0.000 15.555" Properties=species:S:1:pos:R:3 pbc="T T T"
H 1.952 1.127 3.812
H 0.000 0.000 11.669
I 1.952 1.127 13.799
I 0.000 0.000 5.878
I 1.952 1.127 9.555
Cl 0.000 0.000 2.084
Er 0.000 2.254 3.746
Er 0.000 2.254 11.676
```

| no. | energy (eV per atom) |
| --- | --- |
| 1 | -6.0265 |
| 2 | -6.0131 |
| 3 | -4.4470 |
| 4 | -6.2148 |
| 5 | -6.8769 |
| 6 | -5.0253 |
| 7 | -5.0008 |
| 8 | -5.2037 |
| 9 | -5.1424 |
| 10 | -5.1440 |
| 11 | -4.2778 |
| 12 | -4.0934 |